Entry from Alexandria: crystalline RbNp6Se12 at its relaxed geometry (PBE).

Lattice parameters (Å, degrees): 8.501 8.501 8.501 105.55 105.55 105.55
Last column: magnetic moment on the atom in μB.
Positions (direct):
1 Se 0.437 0.437 0.179  -0.21
2 Se 0.179 0.437 0.437  -0.21
3 Se 0.563 0.821 0.563  -0.21
4 Se 0.130 0.870 0.500  -0.16
5 Se 0.563 0.563 0.821  -0.21
6 Se 0.870 0.500 0.130  -0.16
7 Se 0.870 0.130 0.500  -0.16
8 Se 0.437 0.179 0.437  -0.21
9 Se 0.500 0.130 0.870  -0.16
10 Se 0.130 0.500 0.870  -0.16
11 Se 0.821 0.563 0.563  -0.21
12 Se 0.500 0.870 0.130  -0.16
13 Np 0.747 0.747 0.342  3.54
14 Np 0.253 0.658 0.253  3.54
15 Np 0.658 0.253 0.253  3.54
16 Np 0.342 0.747 0.747  3.54
17 Np 0.253 0.253 0.658  3.54
18 Np 0.747 0.342 0.747  3.54
19 Rb 0.000 0.000 0.000  0.00

magnetic moment: 0.999 μB/atom
ρ: 7684 kg/m3
space group: R-3m
DOS(E_F): 53.41 states/eV per cell
energy relative to the elements, uncorrected: -18.91 eV/f.u.
DFT total energy: -7.3334 eV/atom


Entry from Alexandria: crystalline YSiOs2 at its relaxed geometry (PBE).

Lattice parameters (Å, degrees): 4.530 4.530 8.962 75.36 75.36 90.00
Positions (direct):
1 Os 0.471 0.125 0.250
2 Os 0.279 0.625 0.250
3 Os 0.875 0.721 0.750
4 Os 0.375 0.529 0.750
5 Si 0.500 0.500 0.000
6 Si 0.250 0.750 0.500
7 Y 0.750 0.250 0.500
8 Y 0.000 0.000 0.000

magnetic moment: 0.000 μB/atom
ρ: 9621 kg/m3
space group: I-42d
DOS(E_F): 5.63 states/eV per cell
energy relative to the elements, uncorrected: 0.69 eV/f.u.
DFT total energy: -8.4145 eV/atom


Entry from Alexandria: crystalline LiDy3Tm2S6 at its relaxed geometry (PBE).

Lattice parameters (Å, degrees): 6.675 6.675 6.709 99.57 99.57 120.14
Positions (direct):
1 Dy 0.165 0.835 0.500
2 Dy 0.500 0.500 0.500
3 Dy 0.835 0.165 0.500
4 Tm 0.334 0.666 0.000
5 Tm 0.666 0.334 0.000
6 S 0.080 0.408 0.242
7 S 0.592 0.920 0.758
8 S 0.408 0.080 0.242
9 S 0.246 0.246 0.762
10 S 0.920 0.592 0.758
11 S 0.754 0.754 0.238
12 Li 0.000 0.000 0.000

magnetic moment: 0.000 μB/atom
ρ: 6980 kg/m3
space group: C2/m
DOS(E_F): 4.37 states/eV per cell
energy relative to the elements, uncorrected: -23.37 eV/f.u.
DFT total energy: -6.0661 eV/atom


Entry from Alexandria: crystalline Ho6TlPd at its relaxed geometry (PBE).

Lattice parameters (Å, degrees): 6.758 6.758 6.780 102.80 102.80 118.82
Positions (direct):
1 Ho 0.731 0.731 0.273
2 Ho 0.269 0.269 0.727
3 Ho 0.074 0.479 0.257
4 Ho 0.926 0.521 0.743
5 Ho 0.479 0.074 0.257
6 Ho 0.521 0.926 0.743
7 Tl 0.000 0.000 0.000
8 Pd 0.500 0.500 0.500

magnetic moment: 0.000 μB/atom
ρ: 8842 kg/m3
space group: C2/m
DOS(E_F): 9.46 states/eV per cell
energy of formation: -64 meV/atom
DFT total energy: -4.4421 eV/atom


Entry from Alexandria: crystalline MgVSn3 at its relaxed geometry (PBE).

Lattice parameters (Å, degrees): 5.191 5.191 5.191 90.00 90.00 90.00
Last column: magnetic moment on the atom in μB.
Positions (direct):
1 V 0.000 0.000 0.000  0.91
2 Mg 0.500 0.500 0.500  0.04
3 Sn 0.500 0.000 0.000  -0.03
4 Sn 0.000 0.000 0.500  -0.03
5 Sn 0.000 0.500 0.000  -0.03

magnetic moment: 0.204 μB/atom
ρ: 5122 kg/m3
space group: Pm-3m
DOS(E_F): 2.83 states/eV per cell
energy of formation: 240 meV/atom
DFT total energy: -4.3047 eV/atom


Entry from Alexandria: crystalline SrSc2Bi2 at its relaxed geometry (PBE).

Lattice parameters (Å, degrees): 4.657 4.657 7.992 73.06 73.06 90.00
Last column: magnetic moment on the atom in μB.
Positions (direct):
1 Sc 0.750 0.250 0.500  0.47
2 Sc 0.250 0.750 0.500  0.47
3 Sr 0.000 0.000 0.000  0.02
4 Bi 0.620 0.620 0.760  -0.04
5 Bi 0.380 0.380 0.240  -0.04

magnetic moment: 0.312 μB/atom
ρ: 6261 kg/m3
space group: I4/mmm
DOS(E_F): 4.01 states/eV per cell
energy of formation: -595 meV/atom
DFT total energy: -5.0167 eV/atom


Entry from Alexandria: crystalline LuThU at its relaxed geometry (PBE).

Lattice parameters (Å, degrees): 3.375 3.375 8.428 90.00 90.00 120.00
Last column: magnetic moment on the atom in μB.
Positions (direct):
1 U 0.667 0.333 0.334  1.85
2 Th 0.333 0.667 0.658  -0.03
3 Lu 0.000 0.000 0.008  -0.04

magnetic moment: 0.637 μB/atom
ρ: 12887 kg/m3
space group: P3m1
DOS(E_F): 7.41 states/eV per cell
energy of formation: 321 meV/atom
DFT total energy: -7.4223 eV/atom


Entry from Alexandria: crystalline RbInH2Rh at its relaxed geometry (PBE).

Lattice parameters (Å, degrees): 4.392 5.030 4.392 90.00 90.00 90.00
Positions (direct):
1 In 0.000 0.500 0.000
2 Rh 0.000 0.000 0.000
3 H 0.000 0.000 0.500
4 H 0.500 0.000 0.000
5 Rb 0.500 0.500 0.500

magnetic moment: 0.000 μB/atom
ρ: 5223 kg/m3
space group: P4/mmm
DOS(E_F): 1.18 states/eV per cell
DFT total energy: -3.1796 eV/atom


Entry from Alexandria: crystalline SeS2NCl at its relaxed geometry (PBE).

Lattice parameters (Å, degrees): 4.372 4.372 4.145 90.00 90.00 90.00
Positions (direct):
1 S 0.000 0.500 0.000
2 S 0.500 0.000 0.000
3 Se 0.500 0.500 0.500
4 N 0.000 0.000 0.000
5 Cl 0.000 0.000 0.500

magnetic moment: 0.000 μB/atom
ρ: 4035 kg/m3
space group: P4/mmm
DOS(E_F): 2.51 states/eV per cell
energy relative to the elements, uncorrected: 6.42 eV/f.u.
DFT total energy: -3.0988 eV/atom


Entry from Alexandria: crystalline ZnPBr2 at its relaxed geometry (PBE).

Lattice parameters (Å, degrees): 9.454 9.454 9.454 21.09 21.09 21.09
Positions (direct):
1 P 0.500 0.500 0.500
2 Br 0.908 0.908 0.908
3 Br 0.092 0.092 0.092
4 Zn 0.000 0.000 0.000

magnetic moment: 0.000 μB/atom
ρ: 4438 kg/m3
space group: R-3m
DOS(E_F): 1.71 states/eV per cell
energy relative to the elements, uncorrected: 1.96 eV/f.u.
DFT total energy: -2.0179 eV/atom


Entry from Alexandria: crystalline K3PS3 at its relaxed geometry (PBE).

Lattice parameters (Å, degrees): 6.230 9.360 9.359 119.83 90.00 90.00
Positions (direct):
1 S 0.250 0.407 0.204
2 S 0.750 0.593 0.796
3 S 0.750 0.203 0.407
4 S 0.250 0.797 0.593
5 S 0.250 0.797 0.202
6 S 0.750 0.203 0.798
7 K 0.750 0.810 0.619
8 K 0.250 0.619 0.809
9 K 0.250 0.190 0.811
10 K 0.750 0.810 0.189
11 K 0.250 0.190 0.381
12 K 0.750 0.381 0.191
13 P 0.250 0.667 0.333
14 P 0.750 0.333 0.667

magnetic moment: 0.000 μB/atom
ρ: 1715 kg/m3
space group: Cmcm
DOS(E_F): 7.43 states/eV per cell
energy relative to the elements, uncorrected: -4.74 eV/f.u.
DFT total energy: -3.6895 eV/atom


Entry from Alexandria: crystalline GaW at its relaxed geometry (PBE).

Lattice parameters (Å, degrees): 5.135 5.135 5.135 90.00 90.00 90.00
Positions (direct):
1 W 0.500 0.500 0.500
2 W 0.000 0.500 0.000
3 W 0.000 0.000 0.500
4 W 0.500 0.000 0.000
5 Ga 0.000 0.000 0.000
6 Ga 0.500 0.500 0.000
7 Ga 0.500 0.000 0.500
8 Ga 0.000 0.500 0.500

magnetic moment: 0.000 μB/atom
ρ: 12438 kg/m3
space group: Fm-3m
DOS(E_F): 6.22 states/eV per cell
energy of formation: 897 meV/atom
DFT total energy: -7.0931 eV/atom